Crystalline Ce3Pu3Tl at its relaxed geometry. Source: Alexandria via LeMat-Bulk, functional PBE.

DFT formation energy	590	kJ/mol of formula units
VASP energy	-8.15	eV per atom
V	212.34	Å³/f.u.

a = 7.5165 Å, b = 7.5165 Å, c = 7.5165 Å
α = 90.00°, β = 90.00°, γ = 90.00°
Element x y z (fractional)
1 Ce 0.0000 0.2500 0.5000
2 Ce 0.0000 0.7500 0.5000
3 Ce 0.2500 0.5000 0.0000
4 Ce 0.5000 0.0000 0.2500
5 Ce 0.5000 0.0000 0.7500
6 Ce 0.7500 0.5000 0.0000
7 Pu 0.0000 0.5000 0.2500
8 Pu 0.0000 0.5000 0.7500
9 Pu 0.2500 0.0000 0.5000
10 Pu 0.5000 0.2500 0.0000
11 Pu 0.5000 0.7500 0.0000
12 Pu 0.7500 0.0000 0.5000
13 Tl 0.0000 0.0000 0.0000
14 Tl 0.5000 0.5000 0.5000

Crystalline CePuTl4 at its relaxed geometry. Source: Alexandria via LeMat-Bulk, functional PBE.

DFT formation energy	12	kJ/mol of formula units
VASP energy	-4.93	eV per atom
E above lowest polymorph	0.549	eV/f.u.
V	171.54	Å³/f.u.

a = 6.2367 Å, b = 6.2367 Å, c = 6.2367 Å
α = 60.00°, β = 60.00°, γ = 60.00°
Element x y z (fractional)
1 Ce 0.0000 0.0000 0.0000
2 Pu 0.2500 0.2500 0.2500
3 Tl 0.1250 0.6250 0.6250
4 Tl 0.6250 0.1250 0.6250
5 Tl 0.6250 0.6250 0.1250
6 Tl 0.6250 0.6250 0.6250

Crystalline Ce2PuTl at its relaxed geometry. Source: Alexandria via LeMat-Bulk, functional PBE.

DFT formation energy	-26	kJ/mol of formula units
VASP energy	-7.21	eV per atom
E above lowest polymorph	0.149	eV/f.u.
V	110.43	Å³/f.u.

a = 7.6157 Å, b = 7.6157 Å, c = 7.6157 Å
α = 90.00°, β = 90.00°, γ = 90.00°
Element x y z (fractional)
1 Ce 0.2500 0.2500 0.2500
2 Ce 0.2500 0.2500 0.7500
3 Ce 0.2500 0.7500 0.2500
4 Ce 0.2500 0.7500 0.7500
5 Ce 0.7500 0.2500 0.2500
6 Ce 0.7500 0.2500 0.7500
7 Ce 0.7500 0.7500 0.2500
8 Ce 0.7500 0.7500 0.7500
9 Pu 0.0000 0.0000 0.0000
10 Pu 0.0000 0.5000 0.5000
11 Pu 0.5000 0.0000 0.5000
12 Pu 0.5000 0.5000 0.0000
13 Tl 0.0000 0.0000 0.5000
14 Tl 0.0000 0.5000 0.0000
15 Tl 0.5000 0.0000 0.0000
16 Tl 0.5000 0.5000 0.5000

Crystalline Ce2PuTl at its relaxed geometry. Source: Alexandria via LeMat-Bulk, functional PBE.

DFT formation energy	-40	kJ/mol of formula units
VASP energy	-7.25	eV per atom
E above lowest polymorph	0.000	eV/f.u.
V	110.76	Å³/f.u.

a = 4.9377 Å, b = 4.9377 Å, c = 4.5432 Å
α = 90.00°, β = 90.00°, γ = 90.00°
Element x y z (fractional)
1 Ce 0.0000 0.5000 0.0000
2 Ce 0.5000 0.0000 0.0000
3 Pu 0.0000 0.0000 0.5000
4 Tl 0.5000 0.5000 0.5000

Crystalline Ce3Pu3Tl5 at its relaxed geometry. Source: Alexandria via LeMat-Bulk, functional PBE.

DFT formation energy	145	kJ/mol of formula units
VASP energy	-6.47	eV per atom
V	320.89	Å³/f.u.

a = 10.4214 Å, b = 10.4214 Å, c = 3.4117 Å
α = 90.00°, β = 90.00°, γ = 120.00°
Element x y z (fractional)
1 Ce 0.0000 0.6276 0.0000
2 Ce 0.3724 0.3724 0.0000
3 Ce 0.6276 0.0000 0.0000
4 Pu 0.0000 0.8329 0.5000
5 Pu 0.1671 0.1671 0.5000
6 Pu 0.8329 0.0000 0.5000
7 Tl 0.0000 0.3538 0.5000
8 Tl 0.3333 0.6667 0.5000
9 Tl 0.3538 0.0000 0.5000
10 Tl 0.6462 0.6462 0.5000
11 Tl 0.6667 0.3333 0.5000

Crystalline Ce8PuTl2 at its relaxed geometry. Source: Alexandria via LeMat-Bulk, functional PBE.

DFT formation energy	-68	kJ/mol of formula units
VASP energy	-6.11	eV per atom
E above lowest polymorph	0.000	eV/f.u.
V	311.30	Å³/f.u.

a = 7.7674 Å, b = 7.7674 Å, c = 6.3135 Å
α = 94.48°, β = 94.48°, γ = 55.13°
Element x y z (fractional)
1 Ce 0.0020 0.0020 0.2307
2 Ce 0.1384 0.6142 0.3563
3 Ce 0.3858 0.8616 0.6437
4 Ce 0.4159 0.4159 0.8343
5 Ce 0.5841 0.5841 0.1657
6 Ce 0.6142 0.1384 0.3563
7 Ce 0.8616 0.3858 0.6437
8 Ce 0.9980 0.9980 0.7693
9 Pu 0.5000 0.5000 0.5000
10 Tl 0.2094 0.2094 0.0696
11 Tl 0.7906 0.7906 0.9304

Crystalline CePu2Tl3 at its relaxed geometry. Source: Alexandria via LeMat-Bulk, functional PBE.

DFT formation energy	-57	kJ/mol of formula units
VASP energy	-7.05	eV per atom
V	163.77	Å³/f.u.

a = 3.3612 Å, b = 3.3612 Å, c = 14.4962 Å
α = 90.00°, β = 90.00°, γ = 90.00°
Element x y z (fractional)
1 Ce 0.0000 0.0000 0.0000
2 Pu 0.0000 0.0000 0.3339
3 Pu 0.0000 0.0000 0.6661
4 Tl 0.5000 0.5000 0.1679
5 Tl 0.5000 0.5000 0.5000
6 Tl 0.5000 0.5000 0.8320

Crystalline Ce2PuTl at its relaxed geometry. Source: Alexandria via LeMat-Bulk, functional PBE.

DFT formation energy	-13	kJ/mol of formula units
VASP energy	-7.17	eV per atom
E above lowest polymorph	0.284	eV/f.u.
V	110.43	Å³/f.u.

a = 3.8923 Å, b = 3.8923 Å, c = 7.2890 Å
α = 90.00°, β = 90.00°, γ = 90.00°
Element x y z (fractional)
1 Ce 0.0000 0.0000 0.2374
2 Ce 0.0000 0.0000 0.7626
3 Pu 0.5000 0.5000 0.0000
4 Tl 0.5000 0.5000 0.5000

The highest VASP energy belongs to which entry?
CePuTl4

Look up the DFT formation energy of the seventh one.
-57 kJ/mol of formula units

The highest V belongs to which entry?
Ce3Pu3Tl5

Which formula does entry 8 have?
Ce2PuTl